DFT (PBE) results for a relaxed structure of TbHo2C2.

Cell lengths 11.464, 5.059, 7.331 Å; angles 90.00, 109.20, 90.00 degrees
Space group C2/m (No. 12)
One atom of each set of equivalent atoms:
Tb 0.156 0.000 0.096 x4
Ho 0.006 0.500 0.727 x4
Ho 0.162 0.000 0.566 x4
C 0.003 0.000 0.763 x4
C 0.166 0.500 0.583 x4

Results
- DOS(E_F): 0.51 states/eV/atom
- Formation energy from the elements: -0.219 eV/atom

---

DFT (PBE) results for a relaxed structure of Tb2HoC2.

Cell lengths 11.526, 5.136, 7.322 Å; angles 90.00, 110.00, 90.00 degrees
Space group C2/m (No. 12)
One atom of each set of equivalent atoms:
Tb 0.007 0.000 0.231 x4
Tb 0.163 0.500 0.070 x4
Ho 0.155 0.500 0.596 x4
C 0.001 0.500 0.264 x4
C 0.167 0.000 0.089 x4

Results
- DOS(E_F): 0.52 states/eV/atom
- Formation energy from the elements: -0.194 eV/atom

---

DFT (PBE) results for a relaxed structure of Ho3TcC3.

Cell lengths 7.4451, 7.4451, 5.0239 Å; angles 90.00, 90.00, 120.00 degrees
Space group P6_3/m (No. 176)
One atom of each set of equivalent atoms:
Ho 0.0877 0.7232 0.2500 x6
Tc 0.3333 0.6667 0.7500 x2
C 0.0924 0.6986 0.7500 x6

Results
- Offset from the most stable computed form: 99 meV/atom
- DOS(E_F): 0.83 states/eV/atom
- Formation energy from the elements: -0.268 eV/atom

---

DFT (PBE) results for a relaxed structure of Ho2TcC.

Cell lengths 3.3883, 3.3883, 24.6566 Å; angles 90.00, 90.00, 120.00 degrees
Space group R-3m (No. 166, hexagonal axes)
One atom of each set of equivalent atoms:
Ho 0.0000 0.0000 0.1110 x6
Tc 0.0000 0.0000 0.0000 x3
C 0.0000 0.0000 0.5000 x3

Results
- DOS(E_F): 1.09 states/eV/atom
- Formation energy from the elements: 0.501 eV/atom

---

DFT (PBE) results for a relaxed structure of HoTcC.

Cell lengths 16.730, 3.864, 6.915 Å; angles 90.00, 92.64, 90.00 degrees
Space group C2/m (No. 12)
One atom of each set of equivalent atoms:
Ho 0.099 0.000 0.329 x4
Ho 0.101 0.500 0.892 x4
Tc 0.208 0.500 0.575 x4
Tc 0.242 0.500 0.147 x4
C 0.176 0.000 0.055 x4
C 0.186 0.000 0.608 x4

Results
- Offset from the most stable computed form: 157 meV/atom
- DOS(E_F): 0.49 states/eV/atom
- Formation energy from the elements: -0.047 eV/atom

---

DFT (PBE) results for a relaxed structure of HoTcC.

Cell lengths 2.970, 2.970, 9.752 Å; angles 90.00, 90.00, 90.00 degrees
Space group I4mm (No. 107)
One atom of each set of equivalent atoms:
Ho 0.000 0.000 0.000 x2
Tc 0.000 0.000 0.279 x2
C 0.000 0.000 0.705 x2

Results
- Offset from the most stable computed form: 452 meV/atom
- DOS(E_F): 0.78 states/eV/atom
- Formation energy from the elements: 0.248 eV/atom